! Ac3GaHg2 (PBE, relaxed); values from VASP
&SYSTEM
  ibrav = 0, nat = 6, ntyp = 3
/
ATOMIC_SPECIES
Ac 227.00 Ac.upf
Hg 200.59 Hg.upf
Ga 69.72 Ga.upf
ATOMIC_POSITIONS angstrom
Ac 1.988 2.708 -0.896
Ac 1.988 0.851 2.572
Ac 1.988 4.534 4.621
Hg 0.000 3.623 1.868
Hg 0.000 1.763 5.324
Ga 0.000 0.000 0.000
CELL_PARAMETERS angstrom
3.976 0.000 0.000
0.000 5.415 -1.793
0.000 -0.030 8.985
! SG	No. 65
! DFT formation energy	-0.46	eV/atom
! total moment	0.00	μB/f.u.
! ΔE to the lowest computed polymorph	0.007	eV per atom
! DFT total energy	-3.12	eV/atom
! V	193	Å³ per cell